Entry 1:
# HoTmCuPt | the Alexandria database | GGA-PBE | optimized geometry
data_HoTmCuPt
_chemical_formula_sum 'Ho4 Tm4 Cu4 Pt4'
_cell_length_a 6.8977
_cell_length_b 6.8977
_cell_length_c 6.8977
_cell_angle_alpha 90.00
_cell_angle_beta 90.00
_cell_angle_gamma 90.00
_space_group_name_H-M_alt 'F -4 3 m'
_space_group_IT_number 216
_space_group_name_Hall 'F -4 2 3'
loop_
_atom_site_label
_atom_site_fract_x
_atom_site_fract_y
_atom_site_fract_z
Ho1 0.0000 0.0000 0.0000
Tm1 0.0000 0.0000 0.5000
Cu1 0.2500 0.2500 0.7500
Pt1 0.2500 0.2500 0.2500
# - total moment (μB per formula unit) = 0.00
# - raw total energy (eV per atom) = -5.6031
# - formation energy (meV per atom) = -807
# - calculated density (Mg/m³) = 11.992
# - energy above the lowest structure with this stoichiometry (meV/atom) = 30.3

=====

Entry 2:
# KZn2InPt | the Alexandria database | GGA-PBE | optimized geometry
data_KZn2InPt
_chemical_formula_sum 'K1 Zn2 In1 Pt1'
_cell_length_a 5.0158
_cell_length_b 5.0158
_cell_length_c 5.1487
_cell_angle_alpha 90.00
_cell_angle_beta 90.00
_cell_angle_gamma 90.00
_space_group_name_H-M_alt 'P 4/m m m'
_space_group_IT_number 123
_space_group_name_Hall '-P 4 2'
loop_
_atom_site_label
_atom_site_fract_x
_atom_site_fract_y
_atom_site_fract_z
K1 0.0000 0.0000 0.0000
Zn1 0.0000 0.5000 0.5000
In1 0.5000 0.5000 0.0000
Pt1 0.5000 0.5000 0.5000
# - total moment (μB per formula unit) = 0.00
# - raw total energy (eV per atom) = -2.7533
# - formation energy (meV per atom) = -268
# - calculated density (Mg/m³) = 6.151
# - energy above the lowest structure with this stoichiometry (meV/atom) = 0.0

=====

Entry 3:
# K3SnCl6 | the Alexandria database | GGA-PBE | optimized geometry
data_K3SnCl6
_chemical_formula_sum 'K18 Sn6 Cl36'
_cell_length_a 12.9153
_cell_length_b 12.9153
_cell_length_c 14.9984
_cell_angle_alpha 90.00
_cell_angle_beta 90.00
_cell_angle_gamma 120.00
_space_group_name_H-M_alt 'R -3'
_space_group_IT_number 148
_space_group_name_Hall '-R 3'
loop_
_atom_site_label
_atom_site_fract_x
_atom_site_fract_y
_atom_site_fract_z
K1 0.0384 0.2603 0.1923
Sn1 0.0000 0.0000 0.0000
Sn2 0.0000 0.0000 0.5000
Cl1 0.0252 0.1916 0.8893
Cl2 0.0344 0.1733 0.4063
# - total moment (μB per formula unit) = 0.00
# - raw total energy (eV per atom) = -3.4099
# - formation energy without anion corrections (eV/atom) = -1.572
# - calculated density (Mg/m³) = 2.063
# - energy above the lowest structure with this stoichiometry (meV/atom) = 0.0

=====

Entry 4:
# Nd7Sm3Sc | the Alexandria database | GGA-PBE | optimized geometry
data_Nd7Sm3Sc
_chemical_formula_sum 'Nd14 Sm6 Sc2'
_cell_length_a 5.8906
_cell_length_b 11.4191
_cell_length_c 11.4264
_cell_angle_alpha 90.00
_cell_angle_beta 90.00
_cell_angle_gamma 90.00
_space_group_name_H-M_alt 'I m m m'
_space_group_IT_number 71
_space_group_name_Hall '-I 2 2'
loop_
_atom_site_label
_atom_site_fract_x
_atom_site_fract_y
_atom_site_fract_z
Nd1 0.0000 0.0000 0.0000
Nd2 0.0000 0.2155 0.5000
Nd3 0.0000 0.3088 0.2108
Sm1 0.0000 0.0000 0.2949
Sm2 0.0000 0.5000 0.0000
Sc1 0.0000 0.5000 0.5000
# - total moment (μB per formula unit) = 0.00
# - raw total energy (eV per atom) = -4.6680
# - formation energy (meV per atom) = 229
# - calculated density (Mg/m³) = 6.506
# - energy above the lowest structure with this stoichiometry (meV/atom) = 35.4

=====

Entry 5:
# SrLaPtBr | the Alexandria database | GGA-PBE | optimized geometry
data_SrLaPtBr
_chemical_formula_sum 'Sr3 La3 Pt3 Br3'
_cell_length_a 4.3075
_cell_length_b 4.3075
_cell_length_c 24.2246
_cell_angle_alpha 90.00
_cell_angle_beta 90.00
_cell_angle_gamma 120.00
_space_group_name_H-M_alt 'R 3 m'
_space_group_IT_number 160
_space_group_name_Hall 'R 3 -2"'
loop_
_atom_site_label
_atom_site_fract_x
_atom_site_fract_y
_atom_site_fract_z
Sr1 0.0000 0.0000 0.0000
La1 0.0000 0.0000 0.8018
Pt1 0.0000 0.0000 0.4091
Br1 0.0000 0.0000 0.2290
# - total moment (μB per formula unit) = 0.00
# - raw total energy (eV per atom) = -4.9183
# - formation energy without anion corrections (eV/atom) = -1.338
# - calculated density (Mg/m³) = 6.418

=====

Entry 6:
# MnAsBr2 | the Alexandria database | GGA-PBE | optimized geometry
data_MnAsBr2
_chemical_formula_sum 'Mn2 As2 Br4'
_cell_length_a 12.2982
_cell_length_b 3.5685
_cell_length_c 6.0073
_cell_angle_alpha 90.00
_cell_angle_beta 104.60
_cell_angle_gamma 90.00
_space_group_name_H-M_alt 'C 1 m 1'
_space_group_IT_number 8
_space_group_name_Hall 'C -2y'
loop_
_atom_site_label
_atom_site_fract_x
_atom_site_fract_y
_atom_site_fract_z
Mn1 0.0000 0.0000 0.0000
As1 0.3519 0.0000 0.8791
Br1 0.1445 0.5000 0.1756
Br2 0.4505 0.0000 0.5725
# - total moment (μB per formula unit) = 4.00
# - raw total energy (eV per atom) = -4.4964
# - formation energy without anion corrections (eV/atom) = -0.205
# - calculated density (Mg/m³) = 3.771
# - energy above the lowest structure with this stoichiometry (meV/atom) = 23.1

=====

Entry 7:
# CdCuHg | the Alexandria database | GGA-PBE | optimized geometry
data_CdCuHg
_chemical_formula_sum 'Cd1 Cu1 Hg1'
_cell_length_a 4.6311
_cell_length_b 4.6311
_cell_length_c 3.0985
_cell_angle_alpha 90.00
_cell_angle_beta 90.00
_cell_angle_gamma 120.00
_space_group_name_H-M_alt 'P 3 m 1'
_space_group_IT_number 156
_space_group_name_Hall 'P 3 -2"'
loop_
_atom_site_label
_atom_site_fract_x
_atom_site_fract_y
_atom_site_fract_z
Cd1 0.0000 0.0000 0.0000
Cu1 0.6667 0.3333 0.4967
Hg1 0.3333 0.6667 0.5028
# - total moment (μB per formula unit) = 0.00
# - raw total energy (eV per atom) = -1.6045
# - formation energy (meV per atom) = 167
# - calculated density (Mg/m³) = 10.865
# - energy above the lowest structure with this stoichiometry (meV/atom) = 92.7

=====

Entry 8:
# CoTc2Os | the Alexandria database | GGA-PBE | optimized geometry
data_CoTc2Os
_chemical_formula_sum 'Co3 Tc6 Os3'
_cell_length_a 2.6930
_cell_length_b 2.6930
_cell_length_c 26.0628
_cell_angle_alpha 90.00
_cell_angle_beta 90.00
_cell_angle_gamma 120.00
_space_group_name_H-M_alt 'R 3 m'
_space_group_IT_number 160
_space_group_name_Hall 'R 3 -2"'
loop_
_atom_site_label
_atom_site_fract_x
_atom_site_fract_y
_atom_site_fract_z
Co1 0.0000 0.0000 0.0000
Tc1 0.0000 0.0000 0.5004
Tc2 0.0000 0.0000 0.7468
Os1 0.0000 0.0000 0.2534
# - total moment (μB per formula unit) = 0.41
# - raw total energy (eV per atom) = -9.6417
# - formation energy (meV per atom) = 125
# - calculated density (Mg/m³) = 13.547
# - energy above the lowest structure with this stoichiometry (meV/atom) = 162.1